Arrangement w

First-principles (PBE) data for a geometry-optimized HoHgS2 structure, as listed in Alexandria via LeMat-Bulk.

Lattice parameters (Å, degrees): 3.988 3.988 8.497 76.43 76.43 60.00
Fractional positions:
S 0.107 0.107 0.678
S 0.893 0.893 0.322
Hg 0.000 0.000 0.000
Ho 0.500 0.500 0.500

N(E_F) ... 0.680 states/eV/atom

Arrangement x

First-principles (PBE) data for a geometry-optimized HoHgS2 structure, as listed in Alexandria via LeMat-Bulk.

Lattice parameters (Å, degrees): 4.010 4.010 7.402 74.28 74.28 60.00
Fractional positions:
Ho 0.666 0.666 0.003
Hg 0.499 0.499 0.502
S 0.070 0.070 0.790
S 0.265 0.265 0.205

N(E_F) ... 0.716 states/eV/atom

What should be chosen as the most stable of them? Choose arrangement w.

Arrangement w

First-principles (PBE) data for a geometry-optimized Ho2HgS structure, as listed in Alexandria via LeMat-Bulk.

Lattice parameters (Å, degrees): 3.840 3.840 7.871 75.88 75.88 60.00
Fractional positions:
S 0.000 0.000 0.000
Hg 0.500 0.500 0.500
Ho 0.738 0.738 0.787
Ho 0.262 0.262 0.213

N(E_F) ... 0.536 states/eV/atom

Arrangement x

First-principles (PBE) data for a geometry-optimized Ho2HgS structure, as listed in Alexandria via LeMat-Bulk.

Lattice parameters (Å, degrees): 3.791 3.791 8.080 76.43 76.43 60.00
Fractional positions:
Ho 0.069 0.069 0.793
Ho 0.263 0.263 0.210
Hg 0.500 0.500 0.501
S 0.668 0.668 0.996

N(E_F) ... 0.815 states/eV/atom

What should be chosen as the most stable of them? Choose arrangement w.

Arrangement w

First-principles (PBE) data for a geometry-optimized Ho2HgSb structure, as listed in Alexandria via LeMat-Bulk.

Lattice parameters (Å, degrees): 4.203 4.203 7.963 74.70 74.70 60.00
Fractional positions:
Sb 0.500 0.500 0.500
Hg 0.000 0.000 0.000
Ho 0.247 0.247 0.260
Ho 0.753 0.753 0.740

N(E_F) ... 0.829 states/eV/atom

Arrangement x

First-principles (PBE) data for a geometry-optimized Ho2HgSb structure, as listed in Alexandria via LeMat-Bulk.

Lattice parameters (Å, degrees): 4.548 4.136 12.120 99.83 90.00 90.00
Fractional positions:
Ho 0.750 0.681 0.362
Ho 0.250 0.319 0.638
Ho 0.750 0.936 0.871
Ho 0.250 0.064 0.129
Hg 0.250 0.456 0.912
Hg 0.750 0.544 0.088
Sb 0.250 0.190 0.380
Sb 0.750 0.810 0.620

N(E_F) ... 0.416 states/eV/atom

Arrangement y

First-principles (PBE) data for a geometry-optimized Ho2HgSb structure, as listed in Alexandria via LeMat-Bulk.

Lattice parameters (Å, degrees): 4.180 4.180 8.115 75.07 75.07 60.00
Fractional positions:
Ho 0.079 0.079 0.762
Ho 0.254 0.254 0.237
Hg 0.499 0.499 0.503
Sb 0.667 0.667 0.998

N(E_F) ... 0.748 states/eV/atom

What should be chosen as the most stable of them? Choose arrangement x.

Arrangement w

First-principles (PBE) data for a geometry-optimized HoHgSb2 structure, as listed in Alexandria via LeMat-Bulk.

Lattice parameters (Å, degrees): 4.180 4.953 4.953 90.00 90.00 90.00
Fractional positions:
Sb 0.000 0.000 0.500
Sb 0.000 0.500 0.000
Hg 0.500 0.000 0.000
Ho 0.500 0.500 0.500

N(E_F) ... 0.367 states/eV/atom

Arrangement x

First-principles (PBE) data for a geometry-optimized HoHgSb2 structure, as listed in Alexandria via LeMat-Bulk.

Lattice parameters (Å, degrees): 4.432 4.432 9.189 76.05 76.05 60.00
Fractional positions:
Sb 0.102 0.102 0.693
Sb 0.898 0.898 0.307
Hg 0.000 0.000 0.000
Ho 0.500 0.500 0.500

N(E_F) ... 0.335 states/eV/atom

What should be chosen as the most stable of them? Choose arrangement w.

Arrangement w

First-principles (PBE) data for a geometry-optimized HoScHg structure, as listed in Alexandria via LeMat-Bulk.

Lattice parameters (Å, degrees): 3.486 3.486 6.692 105.10 105.10 90.00
Fractional positions:
Sc 0.319 0.319 0.637
Hg 0.675 0.675 0.350
Ho 0.006 0.006 0.013

N(E_F) ... 1.020 states/eV/atom

Arrangement x

First-principles (PBE) data for a geometry-optimized HoScHg structure, as listed in Alexandria via LeMat-Bulk.

Lattice parameters (Å, degrees): 3.603 4.963 4.963 120.00 90.00 90.00
Fractional positions:
Sc 0.126 0.000 0.000
Hg 0.227 0.333 0.667
Ho 0.647 0.667 0.333

N(E_F) ... 1.315 states/eV/atom

Arrangement y

First-principles (PBE) data for a geometry-optimized HoScHg structure, as listed in Alexandria via LeMat-Bulk.

Lattice parameters (Å, degrees): 5.019 5.019 6.830 90.00 90.00 119.98
Fractional positions:
Ho 0.000 0.500 0.000
Ho 0.000 0.500 0.500
Sc 0.667 0.833 0.750
Sc 0.333 0.167 0.250
Hg 0.333 0.167 0.750
Hg 0.667 0.833 0.250

N(E_F) ... 0.693 states/eV/atom

What should be chosen as the most stable of them? Choose arrangement y.

Arrangement w

First-principles (PBE) data for a geometry-optimized Ho2ScHg structure, as listed in Alexandria via LeMat-Bulk.

Lattice parameters (Å, degrees): 4.652 4.702 4.702 90.00 90.00 90.00
Fractional positions:
Sc 0.500 0.000 0.000
Hg 0.500 0.500 0.500
Ho 0.000 0.000 0.500
Ho 0.000 0.500 0.000

N(E_F) ... 1.248 states/eV/atom

Arrangement x

First-principles (PBE) data for a geometry-optimized Ho2ScHg structure, as listed in Alexandria via LeMat-Bulk.

Lattice parameters (Å, degrees): 3.400 3.400 11.577 81.55 81.55 60.00
Fractional positions:
Sc 0.000 0.000 0.000
Hg 0.500 0.500 0.500
Ho 0.094 0.094 0.718
Ho 0.906 0.906 0.282

N(E_F) ... 1.710 states/eV/atom

Arrangement y

First-principles (PBE) data for a geometry-optimized Ho2ScHg structure, as listed in Alexandria via LeMat-Bulk.

Lattice parameters (Å, degrees): 5.289 5.289 5.289 60.00 60.00 60.00
Fractional positions:
Sc 0.500 0.500 0.500
Hg 0.000 0.000 0.000
Ho 0.250 0.250 0.250
Ho 0.750 0.750 0.750

N(E_F) ... 1.420 states/eV/atom

Arrangement z

First-principles (PBE) data for a geometry-optimized Ho2ScHg structure, as listed in Alexandria via LeMat-Bulk.

Lattice parameters (Å, degrees): 3.531 3.531 8.602 90.00 90.00 90.00
Fractional positions:
Sc 0.500 0.500 0.500
Hg 0.500 0.500 0.000
Ho 0.000 0.000 0.762
Ho 0.000 0.000 0.238

N(E_F) ... 1.294 states/eV/atom

What should be chosen as the most stable of them? Choose arrangement z.

Arrangement w

First-principles (PBE) data for a geometry-optimized HoScHg6 structure, as listed in Alexandria via LeMat-Bulk.

Lattice parameters (Å, degrees): 4.448 4.448 9.461 90.00 90.00 90.00
Fractional positions:
Ho 0.000 0.000 0.000
Sc 0.000 0.000 0.500
Hg 0.500 0.500 0.000
Hg 0.500 0.500 0.500
Hg 0.500 0.000 0.256
Hg 0.500 0.000 0.744
Hg 0.000 0.500 0.256
Hg 0.000 0.500 0.744

N(E_F) ... 0.617 states/eV/atom

Arrangement x

First-principles (PBE) data for a geometry-optimized HoScHg6 structure, as listed in Alexandria via LeMat-Bulk.

Lattice parameters (Å, degrees): 6.006 6.006 6.006 87.14 87.14 87.14
Fractional positions:
Ho 0.000 0.000 0.000
Sc 0.500 0.500 0.500
Hg 0.163 0.532 0.163
Hg 0.163 0.163 0.532
Hg 0.837 0.468 0.837
Hg 0.468 0.837 0.837
Hg 0.837 0.837 0.468
Hg 0.532 0.163 0.163

N(E_F) ... 0.777 states/eV/atom

What should be chosen as the most stable of them? Choose arrangement w.

Arrangement w

First-principles (PBE) data for a geometry-optimized Ho3ScHg2 structure, as listed in Alexandria via LeMat-Bulk.

Lattice parameters (Å, degrees): 5.090 6.759 9.132 90.00 90.00 90.00
Fractional positions:
Ho 0.000 0.486 0.951
Ho 0.000 0.986 0.049
Ho 0.500 0.677 0.180
Ho 0.500 0.177 0.820
Ho 0.000 0.320 0.332
Ho 0.000 0.820 0.668
Sc 0.500 0.516 0.549
Sc 0.500 0.016 0.451
Hg 0.500 0.728 0.846
Hg 0.500 0.228 0.154
Hg 0.000 0.272 0.652
Hg 0.000 0.772 0.348

N(E_F) ... 0.417 states/eV/atom

Arrangement x

First-principles (PBE) data for a geometry-optimized Ho3ScHg2 structure, as listed in Alexandria via LeMat-Bulk.

Lattice parameters (Å, degrees): 3.655 3.655 11.835 90.00 90.00 90.00
Fractional positions:
Ho 0.000 0.000 0.000
Ho 0.000 0.000 0.680
Ho 0.000 0.000 0.320
Sc 0.500 0.500 0.500
Hg 0.500 0.500 0.837
Hg 0.500 0.500 0.163

N(E_F) ... 1.253 states/eV/atom

What should be chosen as the most stable of them? Choose arrangement w.

Arrangement w

First-principles (PBE) data for a geometry-optimized HoScHg3 structure, as listed in Alexandria via LeMat-Bulk.

Lattice parameters (Å, degrees): 5.208 6.195 8.272 107.22 108.35 90.00
Fractional positions:
Ho 0.405 0.656 0.810
Ho 0.595 0.344 0.190
Sc 0.197 0.799 0.393
Sc 0.803 0.201 0.607
Hg 0.995 0.245 0.990
Hg 0.005 0.755 0.010
Hg 0.619 0.868 0.237
Hg 0.381 0.132 0.763
Hg 0.792 0.686 0.583
Hg 0.208 0.314 0.417

N(E_F) ... 0.586 states/eV/atom

Arrangement x

First-principles (PBE) data for a geometry-optimized HoScHg3 structure, as listed in Alexandria via LeMat-Bulk.

Lattice parameters (Å, degrees): 6.250 6.919 6.919 120.00 90.00 90.00
Fractional positions:
Ho 0.250 0.334 0.666
Ho 0.750 0.666 0.334
Sc 0.000 0.000 0.000
Sc 0.500 0.000 0.000
Hg 0.250 0.805 0.195
Hg 0.750 0.195 0.805
Hg 0.250 0.804 0.609
Hg 0.750 0.196 0.391
Hg 0.250 0.391 0.196
Hg 0.750 0.609 0.804

N(E_F) ... 0.832 states/eV/atom

What should be chosen as the most stable of them? Choose arrangement w.

Arrangement w

First-principles (PBE) data for a geometry-optimized HoScZnHg structure, as listed in Alexandria via LeMat-Bulk.

Lattice parameters (Å, degrees): 3.495 3.495 7.202 90.00 90.00 90.00
Fractional positions:
Ho 0.000 0.000 0.841
Sc 0.000 0.000 0.374
Zn 0.500 0.500 0.586
Hg 0.500 0.500 0.127

N(E_F) ... 0.846 states/eV/atom

Arrangement x

First-principles (PBE) data for a geometry-optimized HoScZnHg structure, as listed in Alexandria via LeMat-Bulk.

Lattice parameters (Å, degrees): 5.016 5.016 5.016 60.00 60.00 60.00
Fractional positions:
Sc 0.250 0.250 0.250
Zn 0.000 0.000 0.000
Hg 0.500 0.500 0.500
Ho 0.750 0.750 0.750

N(E_F) ... 1.043 states/eV/atom

What should be chosen as the most stable of them? Choose arrangement w.

Arrangement w

First-principles (PBE) data for a geometry-optimized Ho2HgSe structure, as listed in Alexandria via LeMat-Bulk.

Lattice parameters (Å, degrees): 3.880 3.880 8.249 76.40 76.40 60.00
Fractional positions:
Ho 0.075 0.075 0.775
Ho 0.258 0.258 0.227
Hg 0.500 0.500 0.501
Se 0.668 0.668 0.996

N(E_F) ... 0.770 states/eV/atom

Arrangement x

First-principles (PBE) data for a geometry-optimized Ho2HgSe structure, as listed in Alexandria via LeMat-Bulk.

Lattice parameters (Å, degrees): 3.959 3.959 7.924 90.02 104.46 119.98
Fractional positions:
Ho 0.513 0.257 0.770
Ho 0.487 0.743 0.230
Hg 0.000 0.500 0.500
Se 0.000 0.000 0.000

N(E_F) ... 0.552 states/eV/atom

What should be chosen as the most stable of them? Choose arrangement x.

Arrangement w

First-principles (PBE) data for a geometry-optimized SmHoHg4 structure, as listed in Alexandria via LeMat-Bulk.

Lattice parameters (Å, degrees): 5.968 5.968 5.968 60.00 60.00 60.00
Fractional positions:
Hg 0.625 0.625 0.125
Hg 0.625 0.125 0.625
Hg 0.625 0.625 0.625
Hg 0.125 0.625 0.625
Sm 0.000 0.000 0.000
Ho 0.250 0.250 0.250

N(E_F) ... 0.740 states/eV/atom

Arrangement x

First-principles (PBE) data for a geometry-optimized SmHoHg4 structure, as listed in Alexandria via LeMat-Bulk.

Lattice parameters (Å, degrees): 4.522 4.535 8.596 90.00 89.99 90.00
Fractional positions:
Sm 0.501 0.497 0.998
Ho 0.001 0.997 0.498
Hg 0.501 0.997 0.255
Hg 0.501 0.997 0.741
Hg 0.001 0.497 0.741
Hg 0.001 0.497 0.256

N(E_F) ... 0.576 states/eV/atom

What should be chosen as the most stable of them? Choose arrangement w.